No. 1
DFT (PBE) results for crystalline Zn2SiNi at its relaxed geometry.

## Properties
uncorrected formation energy: -15 kJ/mol of atoms
space-group type: C2/m
N(E_F): 1.134 states/eV/f.u.

CIF file:
```
data_Zn2SiNi
_chemical_formula_sum 'Zn2 Si1 Ni1'
_symmetry_space_group_name_H-M 'P 1'
_symmetry_Int_Tables_number 1
_symmetry_space_group_name_Hall 'P 1'
_cell_length_a 6.359
_cell_length_b 6.359
_cell_length_c 3.818
_cell_angle_alpha 72.42
_cell_angle_beta 72.42
_cell_angle_gamma 23.22
loop_
_atom_site_label
_atom_site_fract_x
_atom_site_fract_y
_atom_site_fract_z
_atom_site_occupancy
Si1 0.250 0.250 0.250 1
Zn1 0.059 0.059 0.941 1
Zn2 0.441 0.441 0.559 1
Ni1 0.750 0.750 0.750 1
```

***

No. 2
DFT (PBE) results for crystalline Nb3HgRu at its relaxed geometry.

## Properties
energy relative to the elements: 0.899 eV per atom
space-group type: Pm-3m
N(E_F): 4.267 states/eV/f.u.

CIF file:
```
data_Nb3HgRu
_chemical_formula_sum 'Nb3 Hg1 Ru1'
_symmetry_space_group_name_H-M 'P 1'
_symmetry_Int_Tables_number 1
_symmetry_space_group_name_Hall 'P 1'
_cell_length_a 4.815
_cell_length_b 4.815
_cell_length_c 4.815
_cell_angle_alpha 90.00
_cell_angle_beta 90.00
_cell_angle_gamma 90.00
loop_
_atom_site_label
_atom_site_fract_x
_atom_site_fract_y
_atom_site_fract_z
_atom_site_occupancy
Hg1 0.500 0.500 0.500 1
Ru1 0.000 0.000 0.000 1
Nb1 0.000 0.000 0.500 1
Nb2 0.000 0.500 0.000 1
Nb3 0.500 0.000 0.000 1
```

***

No. 3
DFT (PBE) results for crystalline EuTmCdCu at its relaxed geometry.

## Properties
energy relative to the elements: -0.166 eV per atom
space-group type: F-43m
N(E_F): 4.604 states/eV/f.u.

CIF file:
```
data_EuTmCdCu
_chemical_formula_sum 'Eu1 Tm1 Cd1 Cu1'
_symmetry_space_group_name_H-M 'P 1'
_symmetry_Int_Tables_number 1
_symmetry_space_group_name_Hall 'P 1'
_cell_length_a 5.198
_cell_length_b 5.198
_cell_length_c 5.198
_cell_angle_alpha 60.00
_cell_angle_beta 60.00
_cell_angle_gamma 60.00
loop_
_atom_site_label
_atom_site_fract_x
_atom_site_fract_y
_atom_site_fract_z
_atom_site_occupancy
Cd1 0.250 0.250 0.250 1
Tm1 0.500 0.500 0.500 1
Cu1 0.750 0.750 0.750 1
Eu1 0.000 0.000 0.000 1
```

***

No. 4
DFT (PBE) results for crystalline Nd5GeTe5 at its relaxed geometry.

## Properties
uncorrected formation energy: -134 kJ/mol of atoms
space-group type: C2/m
N(E_F): 2.635 states/eV/f.u.

CIF file:
```
data_Nd5GeTe5
_chemical_formula_sum 'Nd5 Ge1 Te5'
_symmetry_space_group_name_H-M 'P 1'
_symmetry_Int_Tables_number 1
_symmetry_space_group_name_Hall 'P 1'
_cell_length_a 6.311
_cell_length_b 7.747
_cell_length_c 8.887
_cell_angle_alpha 106.91
_cell_angle_beta 90.00
_cell_angle_gamma 114.04
loop_
_atom_site_label
_atom_site_fract_x
_atom_site_fract_y
_atom_site_fract_z
_atom_site_occupancy
Nd1 0.843 0.685 0.162 1
Nd2 0.500 0.000 0.000 1
Nd3 0.157 0.315 0.838 1
Nd4 0.842 0.684 0.679 1
Nd5 0.158 0.316 0.321 1
Te1 0.000 0.000 0.500 1
Te2 0.335 0.671 0.173 1
Te3 0.670 0.340 0.336 1
Te4 0.330 0.660 0.664 1
Te5 0.665 0.329 0.827 1
Ge1 0.000 0.000 0.000 1
```

***

No. 5
DFT (PBE) results for crystalline Ta2NiRh at its relaxed geometry.

## Properties
energy relative to the elements: -0.310 eV per atom
space-group type: Cmmm
N(E_F): 3.274 states/eV/f.u.

CIF file:
```
data_Ta2NiRh
_chemical_formula_sum 'Ta2 Ni1 Rh1'
_symmetry_space_group_name_H-M 'P 1'
_symmetry_Int_Tables_number 1
_symmetry_space_group_name_Hall 'P 1'
_cell_length_a 4.748
_cell_length_b 4.748
_cell_length_c 2.851
_cell_angle_alpha 89.96
_cell_angle_beta 89.96
_cell_angle_gamma 107.95
loop_
_atom_site_label
_atom_site_fract_x
_atom_site_fract_y
_atom_site_fract_z
_atom_site_occupancy
Rh1 0.000 0.500 0.500 1
Ta1 0.500 0.500 0.000 1
Ta2 0.000 0.000 0.000 1
Ni1 0.500 0.000 0.500 1
```

***

No. 6
DFT (PBE) results for crystalline TaGa3Fe at its relaxed geometry.

## Properties
energy relative to the elements: 1.133 eV per atom
E above lowest polymorph: 486 meV per atom
space-group type: Pm-3m
N(E_F): 10.594 states/eV/f.u.

CIF file:
```
data_TaGa3Fe
_chemical_formula_sum 'Ta1 Ga3 Fe1'
_symmetry_space_group_name_H-M 'P 1'
_symmetry_Int_Tables_number 1
_symmetry_space_group_name_Hall 'P 1'
_cell_length_a 4.836
_cell_length_b 4.836
_cell_length_c 4.836
_cell_angle_alpha 90.00
_cell_angle_beta 90.00
_cell_angle_gamma 90.00
loop_
_atom_site_label
_atom_site_fract_x
_atom_site_fract_y
_atom_site_fract_z
_atom_site_occupancy
Ga1 0.000 0.000 0.500 1
Ga2 0.500 0.000 0.000 1
Ga3 0.000 0.500 0.000 1
Ta1 0.000 0.000 0.000 1
Fe1 0.500 0.500 0.500 1
```

***

No. 7
DFT (PBE) results for crystalline Mg2AlAg5 at its relaxed geometry.

## Properties
energy relative to the elements: -0.162 eV per atom
E above lowest polymorph: 0 meV per atom
space-group type: Pbam
N(E_F): 2.302 states/eV/f.u.

CIF file:
```
data_Mg2AlAg5
_chemical_formula_sum 'Mg4 Al2 Ag10'
_symmetry_space_group_name_H-M 'P 1'
_symmetry_Int_Tables_number 1
_symmetry_space_group_name_Hall 'P 1'
_cell_length_a 4.403
_cell_length_b 5.730
_cell_length_c 11.228
_cell_angle_alpha 90.00
_cell_angle_beta 90.00
_cell_angle_gamma 90.00
loop_
_atom_site_label
_atom_site_fract_x
_atom_site_fract_y
_atom_site_fract_z
_atom_site_occupancy
Ag1 0.000 0.580 0.244 1
Ag2 0.000 0.080 0.256 1
Ag3 0.500 0.680 0.891 1
Ag4 0.500 0.320 0.109 1
Ag5 0.000 0.420 0.756 1
Ag6 0.500 0.820 0.391 1
Ag7 0.500 0.180 0.609 1
Ag8 0.000 0.000 0.000 1
Ag9 0.000 0.500 0.500 1
Ag10 0.000 0.920 0.744 1
Mg1 0.500 0.678 0.637 1
Mg2 0.500 0.822 0.137 1
Mg3 0.500 0.178 0.863 1
Mg4 0.500 0.322 0.363 1
Al1 0.000 0.500 0.000 1
Al2 0.000 0.000 0.500 1
```

***

No. 8
DFT (PBE) results for crystalline MgZn2Cl at its relaxed geometry.

## Properties
uncorrected formation energy: -15 kJ/mol of atoms
E above lowest polymorph: 241 meV per atom
space-group type: P4/mmm
N(E_F): 1.295 states/eV/f.u.

CIF file:
```
data_MgZn2Cl
_chemical_formula_sum 'Mg1 Zn2 Cl1'
_symmetry_space_group_name_H-M 'P 1'
_symmetry_Int_Tables_number 1
_symmetry_space_group_name_Hall 'P 1'
_cell_length_a 3.252
_cell_length_b 3.252
_cell_length_c 7.458
_cell_angle_alpha 90.00
_cell_angle_beta 90.00
_cell_angle_gamma 90.00
loop_
_atom_site_label
_atom_site_fract_x
_atom_site_fract_y
_atom_site_fract_z
_atom_site_occupancy
Cl1 0.500 0.500 0.250 1
Zn1 0.000 0.000 0.995 1
Zn2 0.000 0.000 0.505 1
Mg1 0.500 0.500 0.750 1
```